one.
A relaxed structure of Pu3Ga, computed with PBE-GGA.

a b c (Å): 5.912 5.912 5.912
angles (deg): 156.95 63.48 121.75
Fractional coordinates of all 4 atoms:
Pu 0.000 0.000 0.000
Pu 0.506 0.741 0.765
Pu 0.977 0.741 0.235
Ga 0.495 0.995 0.500

The volume is 68 Å³/cell. Its density of states at the Fermi level is 1.546 states/eV/atom.



two.
A relaxed structure of Pu3Ga, computed with PBE-GGA.

a b c (Å): 4.582 4.582 4.030
angles (deg): 90.00 90.00 90.00
Fractional coordinates of all 4 atoms:
Pu 0.000 0.000 0.000
Pu 0.000 0.500 0.330
Pu 0.500 0.000 0.330
Ga 0.500 0.500 0.842

The volume is 85 Å³/cell. Its density of states at the Fermi level is 2.238 states/eV/atom.



Result of the stability comparison: two is the most stable of them.



one.
A relaxed structure of Pu3Ga, computed with PBE-GGA.

a b c (Å): 5.627 5.627 5.627
angles (deg): 132.47 132.47 69.49
Fractional coordinates of all 4 atoms:
Pu 0.000 0.000 0.000
Pu 0.250 0.750 0.500
Pu 0.750 0.250 0.500
Ga 0.500 0.500 0.000

The volume is 95 Å³/cell. Its density of states at the Fermi level is 3.691 states/eV/atom.



two.
A relaxed structure of Pu3Ga, computed with PBE-GGA.

a b c (Å): 4.868 4.868 4.868
angles (deg): 60.00 60.00 60.00
Fractional coordinates of all 4 atoms:
Pu 0.000 0.000 0.000
Pu 0.250 0.250 0.250
Pu 0.750 0.750 0.750
Ga 0.500 0.500 0.500

The volume is 82 Å³/cell. Its density of states at the Fermi level is 3.654 states/eV/atom.



Result of the stability comparison: one is the most stable of them.



one.
A relaxed structure of PuGa5, computed with PBE-GGA.

a b c (Å): 6.421 6.421 4.497
angles (deg): 90.00 90.00 141.62
Fractional coordinates of all 6 atoms:
Pu 0.000 0.000 0.000
Ga 0.169 0.831 0.500
Ga 0.318 0.682 0.000
Ga 0.500 0.500 0.500
Ga 0.682 0.318 0.000
Ga 0.831 0.169 0.500

The volume is 115 Å³/cell. Its density of states at the Fermi level is 1.836 states/eV/atom.



two.
A relaxed structure of PuGa5, computed with PBE-GGA.

a b c (Å): 5.621 5.621 5.621
angles (deg): 132.61 113.43 85.72
Fractional coordinates of all 6 atoms:
Pu 0.000 0.000 0.000
Ga 0.099 0.334 0.765
Ga 0.432 0.666 0.765
Ga 0.500 0.000 0.500
Ga 0.568 0.334 0.235
Ga 0.901 0.666 0.235

The volume is 115 Å³/cell. Its density of states at the Fermi level is 1.672 states/eV/atom.



Result of the stability comparison: two is the most stable of them.



one.
A relaxed structure of Pu2Ga5Rh, computed with PBE-GGA.

a b c (Å): 6.063 6.063 6.063
angles (deg): 118.70 118.70 92.27
Fractional coordinates of all 8 atoms:
Pu 0.000 0.500 0.500
Pu 0.500 0.000 0.500
Ga 0.000 0.000 0.000
Ga 0.536 0.536 0.571
Ga 0.536 0.965 0.000
Ga 0.965 0.536 0.000
Ga 0.965 0.965 0.429
Rh 0.293 0.293 0.000

The volume is 161 Å³/cell. Its density of states at the Fermi level is 2.350 states/eV/atom.



two.
A relaxed structure of Pu2Ga5Rh, computed with PBE-GGA.

a b c (Å): 8.593 8.593 9.068
angles (deg): 90.00 90.00 151.68
Fractional coordinates of all 16 atoms:
Pu 0.000 0.000 0.000
Pu 0.000 0.000 0.500
Pu 0.191 0.809 0.750
Pu 0.809 0.191 0.250
Ga 0.194 0.806 0.108
Ga 0.194 0.806 0.392
Ga 0.357 0.643 0.023
Ga 0.357 0.643 0.477
Ga 0.411 0.589 0.750
Ga 0.589 0.411 0.250
Ga 0.643 0.357 0.523
Ga 0.643 0.357 0.977
Ga 0.806 0.194 0.608
Ga 0.806 0.194 0.892
Rh 0.441 0.559 0.250
Rh 0.559 0.441 0.750

The volume is 318 Å³/cell. Its density of states at the Fermi level is 2.928 states/eV/atom.



Result of the stability comparison: two is the most stable of them.